{
  "formula": "LiAc6Se8",
  "functional": "PBE-GGA",
  "state": "optimized geometry",
  "cell": [[4.584, 2.646, 6.303], [-4.584, 2.646, 6.303], [0.000, -5.293, 6.303]],
  "species": ["Li", "Ac", "Ac", "Ac", "Ac", "Ac", "Ac", "Se", "Se", "Se", "Se", "Se", "Se", "Se", "Se"],
  "fractional_positions": [[0.000, 0.000, 0.000], [0.084, 0.462, 0.700], [0.300, 0.916, 0.538], [0.462, 0.700, 0.084], [0.538, 0.300, 0.916], [0.700, 0.084, 0.462], [0.916, 0.538, 0.300], [0.088, 0.818, 0.352], [0.182, 0.648, 0.912], [0.327, 0.327, 0.327], [0.352, 0.088, 0.818], [0.648, 0.912, 0.182], [0.673, 0.673, 0.673], [0.818, 0.352, 0.088], [0.912, 0.182, 0.648]],
  "n_ef_per_ev_atom": 0.370,
  "total_magnetization_mub_per_fu": 0.00,
  "total_energy_ev_per_atom": -5.4642
}